# TaGa3Co | Alexandria via LeMat-Bulk | meta-GGA SCAN | PBEsol geometry
# - energy (eV per atom) = -25.991
# - DOS at the Fermi energy (states/eV/cell) = 3.8
# - theoretical density (g/cm3) = 9.07
data_TaGa3Co
_cell_length_a 4.3477
_cell_length_b 4.3477
_cell_length_c 4.3477
_cell_angle_alpha 90.00
_cell_angle_beta 90.00
_cell_angle_gamma 90.00
_symmetry_space_group_name_H-M 'P m -3 m'
_symmetry_Int_Tables_number 221
_symmetry_space_group_name_Hall '-P 4 2 3'
loop_
_atom_site_label
_atom_site_fract_x
_atom_site_fract_y
_atom_site_fract_z
Ta1 0.0000 0.0000 0.0000
Ga1 0.0000 0.5000 0.5000
Co1 0.5000 0.5000 0.5000